Record 1
A plane-wave DFT calculation with PBE-GGA was carried out for crystalline SmHoI6 at its relaxed geometry.

Unit cell a=8.2202 b=8.2202 c=8.2202 alpha=55.60 beta=55.60 gamma=55.60
Positions (direct):
Sm  0.0000  0.0000  0.0000
Ho  0.5000  0.5000  0.5000
I  0.0931  0.7459  0.4138
I  0.2541  0.5862  0.9069
I  0.4138  0.0931  0.7459
I  0.5862  0.9069  0.2541
I  0.7459  0.4138  0.0931
I  0.9069  0.2541  0.5862

Computed properties:
- Excess energy over the best structure of this formula in the dataset: 24 meV/atom
- Crystal system: trigonal
- DOS at the Fermi energy: 0.00 states/eV/cell
- Formation energy without anion corrections: -1.33 eV per atom

Record 2
A plane-wave DFT calculation with PBE-GGA was carried out for crystalline SmHo2I at its relaxed geometry.

Unit cell a=3.7617 b=3.7617 c=31.4339 alpha=90.00 beta=90.00 gamma=120.00
Positions (direct):
Sm  0.0000  0.0000  0.0000
Sm  0.3333  0.6667  0.6667
Sm  0.6667  0.3333  0.3333
Ho  0.0000  0.0000  0.5784
Ho  0.0000  0.0000  0.7556
Ho  0.3333  0.6667  0.2451
Ho  0.3333  0.6667  0.4223
Ho  0.6667  0.3333  0.0890
Ho  0.6667  0.3333  0.9118
I  0.0000  0.0000  0.1668
I  0.3333  0.6667  0.8335
I  0.6667  0.3333  0.5002

Computed properties:
- Excess energy over the best structure of this formula in the dataset: 29 meV/atom
- Crystal system: trigonal
- DOS at the Fermi energy: 17.72 states/eV/cell
- Formation energy without anion corrections: -0.31 eV per atom

Record 3
A plane-wave DFT calculation with PBE-GGA was carried out for crystalline SmHoI6 at its relaxed geometry.

Unit cell a=7.5206 b=14.5335 c=7.5200 alpha=90.00 beta=108.31 gamma=90.00
Positions (direct):
Sm  0.0000  0.0000  0.0000
Sm  0.5000  0.5000  0.0000
Ho  0.0000  0.5000  0.5000
Ho  0.5000  0.0000  0.5000
I  0.2444  0.3529  0.7449
I  0.2444  0.6471  0.7449
I  0.2475  0.5000  0.2527
I  0.2525  0.0000  0.7473
I  0.2556  0.1471  0.2551
I  0.2556  0.8529  0.2551
I  0.7444  0.1471  0.7449
I  0.7444  0.8529  0.7449
I  0.7475  0.0000  0.2527
I  0.7525  0.5000  0.7473
I  0.7556  0.3529  0.2551
I  0.7556  0.6471  0.2551

Computed properties:
- Excess energy over the best structure of this formula in the dataset: 0 meV/atom
- Crystal system: monoclinic
- DOS at the Fermi energy: 0.00 states/eV/cell
- Formation energy without anion corrections: -1.35 eV per atom